# 1
A relaxed structure of CeGa2As. Source: the Alexandria database, functional PBE-GGA.

Computed properties:
E_form in eV per atom: -0.657
Electronic total energy in eV per atom: -4.8161
Space-group type: P4/mmm, No. 123
N(E_F) in states/eV per cell: 4.5

Lattice parameters (Å, degrees): 4.227 4.227 4.585 90.00 90.00 90.00
Atoms (fractional coordinates):
1 Ce 0.000 0.000 0.000
2 Ga 0.000 0.500 0.500
3 Ga 0.500 0.000 0.500
4 As 0.500 0.500 0.000

# 2
A relaxed structure of CeGaAs2. Source: the Alexandria database, functional PBE-GGA.

Computed properties:
E_form in eV per atom: 0.100
Electronic total energy in eV per atom: -4.4652
Space-group type: R-3m, No. 166
Distance to the lowest polymorph of the same formula in eV/atom: 0.848
N(E_F) in states/eV per cell: 6.4

Lattice parameters (Å, degrees): 9.536 9.536 9.536 20.72 20.72 20.72
Atoms (fractional coordinates):
1 Ce 0.000 0.000 0.000
2 Ga 0.500 0.500 0.500
3 As 0.105 0.105 0.105
4 As 0.895 0.895 0.895

# 3
A relaxed structure of Ce2GaNi4As3. Source: the Alexandria database, functional PBE-GGA.

Computed properties:
E_form in eV per atom: -0.819
Electronic total energy in eV per atom: -6.0154
Space-group type: P-4m2, No. 115
N(E_F) in states/eV per cell: 8.0

Lattice parameters (Å, degrees): 4.124 4.124 9.657 90.00 90.00 90.00
Atoms (fractional coordinates):
1 Ce 0.000 0.500 0.245
2 Ce 0.500 0.000 0.755
3 Ga 0.000 0.000 0.500
4 Ni 0.000 0.000 0.000
5 Ni 0.000 0.500 0.628
6 Ni 0.500 0.000 0.372
7 Ni 0.500 0.500 0.000
8 As 0.000 0.500 0.870
9 As 0.500 0.000 0.130
10 As 0.500 0.500 0.500

# 4
A relaxed structure of Ce2Ga3AsPt4. Source: the Alexandria database, functional PBE-GGA.

Computed properties:
E_form in eV per atom: -0.905
Electronic total energy in eV per atom: -5.8815
Space-group type: P-4m2, No. 115
N(E_F) in states/eV per cell: 12.0

Lattice parameters (Å, degrees): 4.376 4.376 10.140 90.00 90.00 90.00
Atoms (fractional coordinates):
1 Ce 0.000 0.500 0.248
2 Ce 0.500 0.000 0.752
3 Ga 0.000 0.000 0.000
4 Ga 0.000 0.500 0.629
5 Ga 0.500 0.000 0.371
6 As 0.500 0.500 0.000
7 Pt 0.000 0.000 0.500
8 Pt 0.000 0.500 0.872
9 Pt 0.500 0.000 0.128
10 Pt 0.500 0.500 0.500

# 5
A relaxed structure of Ce2GaAs4Rh3. Source: the Alexandria database, functional PBE-GGA.

Computed properties:
E_form in eV per atom: -0.809
Electronic total energy in eV per atom: -6.3635
Space-group type: P-4m2, No. 115
N(E_F) in states/eV per cell: 11.2

Lattice parameters (Å, degrees): 4.436 4.436 9.636 90.00 90.00 90.00
Atoms (fractional coordinates):
1 Ce 0.000 0.500 0.244
2 Ce 0.500 0.000 0.756
3 Ga 0.000 0.000 0.500
4 As 0.000 0.000 0.000
5 As 0.000 0.500 0.635
6 As 0.500 0.000 0.365
7 As 0.500 0.500 0.000
8 Rh 0.000 0.500 0.886
9 Rh 0.500 0.000 0.114
10 Rh 0.500 0.500 0.500

# 6
A relaxed structure of Ce3GaAs2Rh9. Source: the Alexandria database, functional PBE-GGA.

Computed properties:
E_form in eV per atom: -0.454
Electronic total energy in eV per atom: -6.8732
Space-group type: P-3m1, No. 164
N(E_F) in states/eV per cell: 17.1

Lattice parameters (Å, degrees): 6.535 6.535 8.334 90.00 90.00 120.00
Atoms (fractional coordinates):
1 Ce 0.000 0.000 0.000
2 Ce 0.333 0.667 0.727
3 Ce 0.667 0.333 0.273
4 Ga 0.000 0.000 0.500
5 As 0.333 0.667 0.195
6 As 0.667 0.333 0.805
7 Rh 0.000 0.500 0.000
8 Rh 0.138 0.275 0.264
9 Rh 0.138 0.862 0.264
10 Rh 0.275 0.138 0.736
11 Rh 0.500 0.000 0.000
12 Rh 0.500 0.500 0.000
13 Rh 0.725 0.862 0.264
14 Rh 0.862 0.138 0.736
15 Rh 0.862 0.725 0.736

# 7
A relaxed structure of CeGdAs. Source: the Alexandria database, functional PBE-GGA.

Computed properties:
E_form in eV per atom: -0.717
Electronic total energy in eV per atom: -8.9389
Space-group type: I4mm, No. 107
Distance to the lowest polymorph of the same formula in eV/atom: 0.076
N(E_F) in states/eV per cell: 6.5

Lattice parameters (Å, degrees): 6.177 6.177 6.177 144.36 144.36 51.28
Atoms (fractional coordinates):
1 Ce 0.000 0.000 0.000
2 Gd 0.724 0.724 0.000
3 As 0.353 0.353 0.000

# 8
A relaxed structure of CeGdAs. Source: the Alexandria database, functional PBE-GGA.

Computed properties:
E_form in eV per atom: -0.728
Electronic total energy in eV per atom: -8.9495
Space-group type: F-43m, No. 216
Distance to the lowest polymorph of the same formula in eV/atom: 0.065
N(E_F) in states/eV per cell: 9.6

Lattice parameters (Å, degrees): 4.931 4.931 4.931 60.00 60.00 60.00
Atoms (fractional coordinates):
1 Ce 0.000 0.000 0.000
2 Gd 0.500 0.500 0.500
3 As 0.750 0.750 0.750

# 9
A relaxed structure of CeGdAs. Source: the Alexandria database, functional PBE-GGA.

Computed properties:
E_form in eV per atom: -0.794
Electronic total energy in eV per atom: -9.0149
Space-group type: P3m1, No. 156
Distance to the lowest polymorph of the same formula in eV/atom: 0.000
N(E_F) in states/eV per cell: 6.5

Lattice parameters (Å, degrees): 3.991 3.991 6.569 90.00 90.00 120.00
Atoms (fractional coordinates):
1 Ce 0.000 0.000 0.000
2 Gd 0.667 0.333 0.465
3 As 0.333 0.667 0.728

# 10
A relaxed structure of CeGeAs2. Source: the Alexandria database, functional PBE-GGA.

Computed properties:
E_form in eV per atom: 0.161
Electronic total energy in eV per atom: -4.8017
Space-group type: R-3m, No. 166
Distance to the lowest polymorph of the same formula in eV/atom: 0.833
N(E_F) in states/eV per cell: 6.1

Lattice parameters (Å, degrees): 9.417 9.417 9.417 21.39 21.39 21.39
Atoms (fractional coordinates):
1 Ce 0.000 0.000 0.000
2 Ge 0.500 0.500 0.500
3 As 0.106 0.106 0.106
4 As 0.894 0.894 0.894

# 11
A relaxed structure of Ce3GeAs6. Source: the Alexandria database, functional PBE-GGA.

Computed properties:
E_form in eV per atom: -0.674
Electronic total energy in eV per atom: -5.7060
Space-group type: Cmc2_1, No. 36
N(E_F) in states/eV per cell: 8.4

Lattice parameters (Å, degrees): 9.496 9.496 6.074 90.00 90.00 102.80
Atoms (fractional coordinates):
1 Ce 0.120 0.880 0.500
2 Ce 0.212 0.421 0.432
3 Ce 0.421 0.212 0.932
4 Ce 0.579 0.788 0.432
5 Ce 0.788 0.579 0.932
6 Ce 0.880 0.120 0.000
7 Ge 0.313 0.687 0.847
8 Ge 0.687 0.313 0.347
9 As 0.067 0.589 0.706
10 As 0.142 0.166 0.713
11 As 0.166 0.142 0.213
12 As 0.290 0.710 0.245
13 As 0.411 0.933 0.706
14 As 0.481 0.519 0.722
15 As 0.519 0.481 0.222
16 As 0.589 0.067 0.206
17 As 0.710 0.290 0.745
18 As 0.834 0.858 0.713
19 As 0.858 0.834 0.213
20 As 0.933 0.411 0.206

# 12
A relaxed structure of Ce10Ge3As3. Source: the Alexandria database, functional PBE-GGA.

Computed properties:
E_form in eV per atom: -0.794
Electronic total energy in eV per atom: -6.2400
Space-group type: P-62m, No. 189
N(E_F) in states/eV per cell: 44.5

Lattice parameters (Å, degrees): 8.863 8.863 6.131 90.00 90.00 120.00
Atoms (fractional coordinates):
1 Ce 0.000 0.267 0.000
2 Ce 0.000 0.730 0.500
3 Ce 0.267 0.000 0.000
4 Ce 0.270 0.270 0.500
5 Ce 0.333 0.667 0.245
6 Ce 0.333 0.667 0.755
7 Ce 0.667 0.333 0.245
8 Ce 0.667 0.333 0.755
9 Ce 0.730 0.000 0.500
10 Ce 0.733 0.733 0.000
11 Ge 0.000 0.376 0.500
12 Ge 0.376 0.000 0.500
13 Ge 0.624 0.624 0.500
14 As 0.000 0.624 0.000
15 As 0.376 0.376 0.000
16 As 0.624 0.000 0.000